[1]
CuH3Pd6: optimized geometry, PBE-GGA.

Results
Crystal system: triclinic
Distance to the lowest polymorph of the same formula: 0 meV/atom

abc: 6.375 4.906 6.453
angles: 105.13 107.68 130.14
Element x y z (fractional)
1 Cu 0.143 0.296 0.981
2 H 0.725 0.350 0.165
3 H 0.971 0.231 0.599
4 H 0.296 0.353 0.372
5 Pd 0.433 0.439 0.703
6 Pd 0.011 0.732 0.114
7 Pd 0.856 0.139 0.259
8 Pd 0.278 0.860 0.833
9 Pd 0.571 0.007 0.552
10 Pd 0.717 0.593 0.422


[2]
CuHPd2: optimized geometry, PBE-GGA.

Results
Crystal system: orthorhombic
Distance to the lowest polymorph of the same formula: 36 meV/atom

abc: 2.819 5.584 6.096
angles: 90.00 103.37 90.00
Element x y z (fractional)
1 Cu 0.998 0.750 0.996
2 Cu 0.002 0.250 0.004
3 H 0.256 0.750 0.512
4 H 0.744 0.250 0.488
5 Pd 0.648 0.998 0.295
6 Pd 0.352 0.498 0.705
7 Pd 0.648 0.502 0.295
8 Pd 0.352 0.002 0.705


[3]
Cu3H4Pd4: optimized geometry, PBE-GGA.

Results
Crystal system: orthorhombic
Uncorrected energy: -4.178 eV per atom

abc: 4.026 4.713 7.070
angles: 90.00 90.00 115.28
Element x y z (fractional)
1 Cu 0.372 0.744 0.324
2 Cu 0.372 0.744 0.676
3 Cu 0.259 0.518 0.000
4 H 0.579 0.159 0.733
5 H 0.579 0.159 0.267
6 H 0.206 0.413 0.500
7 H 0.044 0.088 0.000
8 Pd 0.711 0.421 0.500
9 Pd 0.554 0.107 0.000
10 Pd 0.061 0.122 0.719
11 Pd 0.061 0.122 0.281


[4]
CuHPd4: optimized geometry, PBE-GGA.

Results
Crystal system: triclinic
Distance to the lowest polymorph of the same formula: 0 meV/atom

abc: 4.797 4.732 7.357
angles: 85.54 70.92 89.94
Element x y z (fractional)
1 Cu 0.842 0.251 0.000
2 Cu 0.158 0.749 0.000
3 H 0.500 0.500 0.500
4 H 0.000 0.000 0.500
5 Pd 0.564 0.737 0.191
6 Pd 0.754 0.763 0.809
7 Pd 0.436 0.263 0.809
8 Pd 0.246 0.237 0.191
9 Pd 0.966 0.719 0.382
10 Pd 0.347 0.781 0.618
11 Pd 0.034 0.281 0.618
12 Pd 0.653 0.219 0.382


[5]
Cu2H2Pd5: optimized geometry, PBE-GGA.

Results
Crystal system: triclinic
Uncorrected energy: -4.605 eV per atom

abc: 4.749 4.872 4.984
angles: 81.69 82.16 101.93
Element x y z (fractional)
1 Cu 0.577 0.146 0.707
2 Cu 0.423 0.854 0.293
3 H 0.938 0.663 0.877
4 H 0.062 0.337 0.123
5 Pd 0.691 0.402 0.150
6 Pd 0.309 0.598 0.850
7 Pd 0.850 0.716 0.546
8 Pd 0.150 0.284 0.454
9 Pd 0.000 0.000 0.000


[6]
CuHPd: optimized geometry, PBE-GGA.

Results
Crystal system: tetragonal
Distance to the lowest polymorph of the same formula: 277 meV/atom

abc: 2.725 2.725 4.865
angles: 106.26 106.26 90.00
Element x y z (fractional)
1 H 0.386 0.386 0.772
2 Pd 0.588 0.588 0.177
3 Cu 0.876 0.876 0.751


[7]
Cu3HPd6: optimized geometry, PBE-GGA.

Results
Crystal system: monoclinic
Distance to the lowest polymorph of the same formula: 39 meV/atom

abc: 2.729 9.102 11.108
angles: 101.50 90.00 90.00
Element x y z (fractional)
1 Cu 0.750 0.301 0.859
2 Cu 0.250 0.699 0.141
3 Cu 0.750 0.627 0.523
4 Cu 0.250 0.373 0.477
5 Cu 0.750 0.141 0.024
6 Cu 0.250 0.859 0.976
7 H 0.750 0.929 0.697
8 H 0.250 0.071 0.303
9 Pd 0.750 0.465 0.686
10 Pd 0.250 0.535 0.314
11 Pd 0.750 0.958 0.175
12 Pd 0.250 0.042 0.825
13 Pd 0.750 0.434 0.090
14 Pd 0.250 0.566 0.910
15 Pd 0.750 0.799 0.355
16 Pd 0.250 0.201 0.645
17 Pd 0.750 0.107 0.425
18 Pd 0.250 0.893 0.575
19 Pd 0.750 0.760 0.768
20 Pd 0.250 0.240 0.232


[8]
Cu3H2Pd2: optimized geometry, PBE-GGA.

Results
Crystal system: monoclinic
Uncorrected energy: -4.200 eV per atom

abc: 2.801 4.518 6.588
angles: 109.38 90.00 108.06
Element x y z (fractional)
1 Cu 0.500 0.000 0.000
2 Cu 0.611 0.221 0.414
3 Cu 0.389 0.779 0.586
4 H 0.757 0.514 0.694
5 H 0.243 0.486 0.306
6 Pd 0.831 0.662 0.204
7 Pd 0.169 0.338 0.796


What is the formula in the sixth record? CuHPd